CuAg2: relaxed, PBE-GGA.

a b c (Å): 4.5279 4.5279 5.4859
angles (deg): 90.00 90.00 120.00
Space group P6_3/mmc (No. 194)
Unique sites:
Cu1 0.3333 0.6667 0.2500 (multiplicity 2)
Ag1 0.0000 0.0000 0.0000 (multiplicity 2)
Ag2 0.3333 0.6667 0.7500 (multiplicity 2)

Results
Offset from the most stable computed form ... 60 meV/atom
Energy relative to the elements ... 0.14 eV/atom
DFT total energy ... -18.746 eV per cell

***

Cu4Ag3: relaxed, PBE-GGA.

a b c (Å): 2.881 2.881 24.586
angles (deg): 90.00 90.00 90.00
Space group I4/mmm (No. 139)
Unique sites:
Cu1 0.000 0.000 0.074 (multiplicity 4)
Cu2 0.000 0.000 0.367 (multiplicity 4)
Ag1 0.000 0.000 0.207 (multiplicity 4)
Ag2 0.000 0.000 0.500 (multiplicity 2)

Results
Offset from the most stable computed form ... 0 meV/atom
Energy relative to the elements ... 0.09 eV/atom
DFT total energy ... -48.683 eV per cell

***

Cu3Ag5: relaxed, PBE-GGA.

a b c (Å): 7.5978 7.5978 5.2294
angles (deg): 90.00 90.00 120.00
Space group P6_3/mcm (No. 193)
Unique sites:
Cu1 0.0000 0.4069 0.2500 (multiplicity 6)
Ag1 0.0000 0.2332 0.7500 (multiplicity 6)
Ag2 0.3333 0.6667 0.0000 (multiplicity 4)

Results
Offset from the most stable computed form ... 18 meV/atom
Energy relative to the elements ... 0.18 eV/atom
DFT total energy ... -50.229 eV per cell

***

Dy6Cu2Ag: relaxed, PBE-GGA.

a b c (Å): 9.537 9.610 10.036
angles (deg): 90.00 90.00 90.00
Space group Immm (No. 71)
Unique sites:
Dy1 0.000 0.190 0.245 (multiplicity 8)
Dy2 0.197 0.500 0.177 (multiplicity 8)
Dy3 0.223 0.319 0.500 (multiplicity 8)
Cu1 0.000 0.351 0.000 (multiplicity 4)
Cu2 0.000 0.500 0.380 (multiplicity 4)
Ag1 0.000 0.000 0.000 (multiplicity 2)
Ag2 0.000 0.000 0.500 (multiplicity 2)

Results
Energy relative to the elements ... -0.16 eV/atom
DFT total energy ... -160.457 eV per cell

***

What is the energy relative to the elements in the fourth record? -0.16 eV/atom